No. 1
Below is a relaxed NdReO6 crystal, with properties calculated at the GGA-PBE level.

Cell lengths 5.164, 5.765, 5.840 Å; angles 63.12, 64.13, 62.88 degrees
Each line ends with the local moment (μB).
Fractional coordinates of all 8 atoms:
Nd  0.500  0.500  0.500  -0.01
Re  0.000  0.000  0.000  -0.15
O  0.109  0.298  0.725  0.24
O  0.653  0.119  0.878  0.46
O  0.769  0.214  0.228  0.21
O  0.347  0.881  0.122  0.46
O  0.891  0.702  0.275  0.24
O  0.231  0.786  0.772  0.21

Output
Energy relative to the elements, uncorrected = -1.626 eV per atom
E_tot = -59.97 eV/f.u.
Crystal system = triclinic
Magnetization = 2.0 μB/f.u.

***

No. 2
Below is a relaxed Y2HoRu crystal, with properties calculated at the GGA-PBE level.

Cell lengths 6.347, 7.303, 9.200 Å; angles 90.00, 90.00, 90.00 degrees
Fractional coordinates of all 16 atoms:
Y  0.170  0.676  0.064
Y  0.330  0.176  0.436
Y  0.830  0.324  0.564
Y  0.670  0.824  0.936
Y  0.830  0.324  0.936
Y  0.670  0.824  0.564
Y  0.170  0.676  0.436
Y  0.330  0.176  0.064
Ho  0.634  0.543  0.250
Ho  0.866  0.043  0.250
Ho  0.366  0.457  0.750
Ho  0.134  0.957  0.750
Ru  0.032  0.384  0.250
Ru  0.468  0.884  0.250
Ru  0.968  0.616  0.750
Ru  0.532  0.116  0.750

Output
ΔE_f = -0.317 eV per atom
E_tot = -28.05 eV/f.u.
Crystal system = orthorhombic
Relative energy among the computed polymorphs = 0.000 eV/f.u.
Magnetization = 0.0 μB/f.u.

***

No. 3
Below is a relaxed Sm3ErTl2 crystal, with properties calculated at the GGA-PBE level.

Cell lengths 5.178, 6.809, 10.196 Å; angles 90.00, 90.00, 90.00 degrees
Fractional coordinates of all 12 atoms:
Sm  0.000  0.454  0.962
Sm  0.000  0.954  0.038
Sm  0.500  0.684  0.189
Sm  0.500  0.184  0.811
Sm  0.000  0.317  0.320
Sm  0.000  0.817  0.680
Er  0.500  0.543  0.539
Er  0.500  0.043  0.461
Tl  0.500  0.707  0.862
Tl  0.500  0.207  0.138
Tl  0.000  0.295  0.635
Tl  0.000  0.795  0.365

Output
ΔE_f = -0.267 eV per atom
E_tot = -25.05 eV/f.u.
Crystal system = orthorhombic
Relative energy among the computed polymorphs = 0.000 eV/f.u.
Magnetization = 0.0 μB/f.u.

***

No. 4
Below is a relaxed CaPdO crystal, with properties calculated at the GGA-PBE level.

Cell lengths 3.825, 3.825, 7.873 Å; angles 90.00, 90.00, 90.00 degrees
Fractional coordinates of all 6 atoms:
Ca  0.000  0.500  0.644
Ca  0.500  0.000  0.356
O  0.000  0.000  0.500
O  0.500  0.500  0.500
Pd  0.000  0.500  0.033
Pd  0.500  0.000  0.967

Output
Energy relative to the elements, uncorrected = -1.258 eV per atom
E_tot = -15.93 eV/f.u.
Crystal system = tetragonal
Magnetization = 0.0 μB/f.u.